Material: Ce2Mg2Zn
Method: DFT, PBE
State: optimized geometry

## Properties
Calculated density   5.40 g cm⁻³
Total energy   -3.340 eV per atom

a b c (Å): 4.6564 3.1574 8.7103
angles (deg): 79.58 74.49 89.99
Site moments in Bohr magnetons follow the coordinates.
Fractional positions:
Zn (0.2000, 0.0001, 0.9999)  0.00
Mg (0.9952, 0.7951, 0.4098)  0.00
Mg (0.4047, 0.2048, 0.5902)  0.00
Ce (0.7822, 0.5819, 0.8354)  0.69
Ce (0.6178, 0.4181, 0.1647)  0.69